Density functional theory data (GGA-PBE) for a relaxed DyEr8Sb2 crystal.

POSCAR file:
```
DyEr8Sb2
1.0
5.953 -0.889 -0.674
-1.320 8.426 0.934
-1.320 3.168 7.863
Er Sb Dy
8 2 1
direct
0.722 0.571 0.192 Er
0.234 0.410 0.410 Er
0.278 0.429 0.808 Er
0.722 0.192 0.571 Er
0.278 0.808 0.429 Er
0.197 0.823 0.823 Er
0.766 0.590 0.590 Er
0.803 0.177 0.177 Er
0.346 0.219 0.219 Sb
0.654 0.781 0.781 Sb
0.000 0.000 0.000 Dy
```

Summary:
Symmetry ... C2/m (12)
D(E_F) ... 14.231 states/eV/cell
E_form (uncorrected) ... -0.069 eV per atom